Entry from OQMD: a relaxed structure of Sr2AlOsS6 (PBE).

```
Sr2AlOsS6
1.0
0.0000 4.7181 4.7181
4.7181 0.0000 4.7181
4.7181 4.7181 0.0000
Sr Al Os S
2 1 1 6
direct
0.2500 0.2500 0.2500
0.7500 0.7500 0.7500
0.0000 0.0000 0.0000
0.5000 0.5000 0.5000
0.2499 0.2499 0.7501
0.2499 0.7501 0.2499
0.2499 0.7501 0.7501
0.7501 0.2499 0.2499
0.7501 0.2499 0.7501
0.7501 0.7501 0.2499
```

Computed properties:
**Excess energy over the best structure of this formula in the dataset**: 101 kJ/mol of formula units
**Energy**: -5.153 eV per atom
**Space group**: Fm-3m, No. 225